Computed, not measured: an optimized crystal structure of Li4Cr3Fe3Sn2O16 at the PBE with a Hubbard U level of DFT.

Energy relative to the lowest polymorph listed for this composition   0 meV per atom
Volume   299 Å³ per cell

abc: 5.9463 5.9463 9.7332
angles: 90.18 90.18 60.38
Element x y z (fractional)
1 Li 0.9988 0.9988 0.9946
2 Li 0.6656 0.6656 0.8983
3 Li 0.3367 0.3367 0.3939
4 Li 0.9987 0.9987 0.4937
5 O 0.6810 0.1532 0.0994
6 O 0.5249 0.9675 0.3335
7 O 0.8399 0.8399 0.6010
8 O 0.5182 0.5182 0.3384
9 O 0.9675 0.5249 0.3335
10 O 0.0316 0.4739 0.8367
11 O 0.1532 0.6810 0.0994
12 O 0.3266 0.3266 0.6067
13 O 0.4739 0.0316 0.8367
14 O 0.3222 0.8454 0.5985
15 O 0.0086 0.0086 0.8087
16 O 0.8454 0.3222 0.5985
17 O 0.9924 0.9924 0.3076
18 O 0.1578 0.1578 0.1008
19 O 0.6733 0.6733 0.1119
20 O 0.4816 0.4816 0.8435
21 Fe 0.8297 0.8297 0.2150
22 Fe 0.1705 0.6631 0.7155
23 Fe 0.6631 0.1705 0.7155
24 Cr 0.8300 0.3373 0.2147
25 Cr 0.1716 0.1716 0.7145
26 Cr 0.3373 0.8300 0.2147
27 Sn 0.6686 0.6686 0.4898
28 Sn 0.3294 0.3294 0.9930